Crystalline Mn2CdSn4 at its relaxed geometry. Source: the Alexandria database, functional PBE.

Results
For the total energy, the calculation gives -4.400 eV/atom. As for the total magnetization: 7.39 μB per formula unit. The calculation puts the formation energy at 638 meV/atom.

Unit cell a=5.462 b=5.462 c=7.737 alpha=69.33 beta=69.33 gamma=90.00
Fractional positions:
Sn  0.000  0.500  0.000
Sn  0.500  0.000  0.000
Sn  0.209  0.209  0.582
Sn  0.791  0.791  0.418
Mn  0.593  0.593  0.814
Mn  0.407  0.407  0.186
Cd  0.000  0.000  0.000